An optimized crystal structure of CoBiPtW. Source: OQMD, functional PBE-GGA.

Calculated values
**Total magnetization**: 0.6 Bohr magnetons per cell
**E**: -6.8341 eV/atom
**Energy above the most stable polymorph in this dataset**: 136.3 meV/atom
**Mass density**: 15.6 g cm⁻³

a = 4.597 Å, b = 4.597 Å, c = 4.597 Å
α = 60.00°, β = 60.00°, γ = 60.00°
Last column: magnetic moment on the atom in μB.
Sites, in units of the cell vectors:
Bi1 0.000 0.000 0.000  0.00
Co1 0.750 0.750 0.750  0.81
Pt1 0.250 0.250 0.250  -0.10
W1 0.500 0.500 0.500  -0.10

---

An optimized crystal structure of CoBiPtW. Source: OQMD, functional PBE-GGA.

Calculated values
**Total magnetization**: 0.7 Bohr magnetons per cell
**E**: -6.9704 eV/atom
**Energy above the most stable polymorph in this dataset**: 0.0 meV/atom
**Mass density**: 16.0 g cm⁻³

a = 4.563 Å, b = 4.563 Å, c = 4.563 Å
α = 60.00°, β = 60.00°, γ = 60.00°
Sites, in units of the cell vectors:
Bi1 0.000 0.000 0.000
Co1 0.750 0.750 0.750
Pt1 0.500 0.500 0.500
W1 0.250 0.250 0.250

---

An optimized crystal structure of YCoBiPt. Source: OQMD, functional PBE-GGA.

Calculated values
**Total magnetization**: 1.6 Bohr magnetons per cell
**E**: -6.0637 eV/atom
**Energy above the most stable polymorph in this dataset**: 146.2 meV/atom
**Mass density**: 11.5 g cm⁻³

a = 4.831 Å, b = 4.831 Å, c = 4.831 Å
α = 60.00°, β = 60.00°, γ = 60.00°
Sites, in units of the cell vectors:
Bi1 0.000 0.000 0.000
Co1 0.750 0.750 0.750
Pt1 0.500 0.500 0.500
Y1 0.250 0.250 0.250

---

An optimized crystal structure of YCoBiPt. Source: OQMD, functional PBE-GGA.

Calculated values
**Total magnetization**: 0.0 Bohr magnetons per cell
**E**: -6.2099 eV/atom
**Energy above the most stable polymorph in this dataset**: 0.0 meV/atom
**Mass density**: 11.6 g cm⁻³

a = 4.818 Å, b = 4.818 Å, c = 4.818 Å
α = 60.00°, β = 60.00°, γ = 60.00°
Sites, in units of the cell vectors:
Bi1 0.000 0.000 0.000
Co1 0.750 0.750 0.750
Pt1 0.250 0.250 0.250
Y1 0.500 0.500 0.500

---

An optimized crystal structure of RbCoBi. Source: OQMD, functional PBE-GGA.

Calculated values
**Total magnetization**: 2.6 Bohr magnetons per cell
**E**: -2.4926 eV/atom
**Mass density**: 5.1 g cm⁻³

a = 5.472 Å, b = 5.472 Å, c = 5.472 Å
α = 60.00°, β = 60.00°, γ = 60.00°
Sites, in units of the cell vectors:
Bi1 0.250 0.250 0.250
Co1 0.750 0.750 0.750
Rb1 0.000 0.000 0.000

---

An optimized crystal structure of RbCoBi. Source: OQMD, functional PBE-GGA.

Calculated values
**Total magnetization**: 0.0 Bohr magnetons per cell
**E**: -3.2580 eV/atom
**Mass density**: 6.8 g cm⁻³

a = 4.965 Å, b = 4.965 Å, c = 4.965 Å
α = 60.00°, β = 60.00°, γ = 60.00°
Sites, in units of the cell vectors:
Bi1 0.500 0.500 0.500
Co1 0.250 0.250 0.250
Rb1 0.000 0.000 0.000

---

An optimized crystal structure of RbCo3Bi5. Source: OQMD, functional PBE-GGA.

Calculated values
**Total magnetization**: 1.9 Bohr magnetons per cell
**E**: -4.6927 eV/atom
**Mass density**: 8.9 g cm⁻³

a = 5.616 Å, b = 5.616 Å, c = 8.978 Å
α = 90.00°, β = 90.00°, γ = 120.00°
Last column: magnetic moment on the atom in μB.
Sites, in units of the cell vectors:
Bi1 0.667 0.333 0.260  -0.01
Bi2 0.333 0.667 0.260  -0.01
Bi3 0.000 0.000 0.500  -0.02
Bi4 0.667 0.333 0.740  -0.01
Bi5 0.333 0.667 0.740  -0.01
Co1 0.500 0.000 0.500  0.69
Co2 0.000 0.500 0.500  0.53
Co3 0.500 0.500 0.500  0.78
Rb1 0.000 0.000 0.000  0.00

---

An optimized crystal structure of RbCoBiSe3. Source: OQMD, functional PBE-GGA.

Calculated values
**Total magnetization**: 6.0 Bohr magnetons per cell
**E**: -4.2409 eV/atom
**Mass density**: 5.4 g cm⁻³

a = 7.884 Å, b = 7.884 Å, c = 11.391 Å
α = 90.00°, β = 90.00°, γ = 149.09°
Last column: magnetic moment on the atom in μB.
Sites, in units of the cell vectors:
Bi1 0.000 0.000 0.000  -0.01
Bi2 0.000 0.000 0.500  -0.01
Co1 0.462 0.538 0.250  2.21
Co2 0.538 0.462 0.750  2.21
Rb1 0.740 0.260 0.250  0.01
Rb2 0.260 0.740 0.750  0.01
Se1 0.375 0.625 0.072  0.11
Se2 0.051 0.949 0.250  0.16
Se3 0.375 0.625 0.428  0.11
Se4 0.625 0.375 0.572  0.11
Se5 0.949 0.051 0.750  0.16
Se6 0.625 0.375 0.928  0.11

---

An optimized crystal structure of Co2ReBi. Source: OQMD, functional PBE-GGA.

Calculated values
**Total magnetization**: 2.6 Bohr magnetons per cell
**E**: -6.8710 eV/atom
**Mass density**: 14.1 g cm⁻³

a = 4.408 Å, b = 4.408 Å, c = 4.408 Å
α = 60.00°, β = 60.00°, γ = 60.00°
Last column: magnetic moment on the atom in μB.
Sites, in units of the cell vectors:
Bi1 0.500 0.500 0.500  0.01
Co1 0.000 0.000 0.000  1.36
Co2 0.750 0.750 0.750  1.09
Re1 0.250 0.250 0.250  0.23

---

An optimized crystal structure of CoRe2Bi. Source: OQMD, functional PBE-GGA.

Calculated values
**Total magnetization**: 2.1 Bohr magnetons per cell
**E**: -8.1043 eV/atom
**Mass density**: 16.4 g cm⁻³

a = 4.510 Å, b = 4.510 Å, c = 4.510 Å
α = 60.00°, β = 60.00°, γ = 60.00°
Last column: magnetic moment on the atom in μB.
Sites, in units of the cell vectors:
Bi1 0.500 0.500 0.500  0.02
Co1 0.250 0.250 0.250  1.48
Re1 0.000 0.000 0.000  0.52
Re2 0.750 0.750 0.750  0.11

---

An optimized crystal structure of CoReBi2. Source: OQMD, functional PBE-GGA.

Calculated values
**Total magnetization**: 1.6 Bohr magnetons per cell
**E**: -5.6520 eV/atom
**Mass density**: 13.5 g cm⁻³

a = 4.872 Å, b = 4.872 Å, c = 4.872 Å
α = 60.00°, β = 60.00°, γ = 60.00°
Sites, in units of the cell vectors:
Bi1 0.000 0.000 0.000
Bi2 0.750 0.750 0.750
Co1 0.250 0.250 0.250
Re1 0.500 0.500 0.500

---

An optimized crystal structure of ScCoReBi. Source: OQMD, functional PBE-GGA.

Calculated values
**Total magnetization**: 0.0 Bohr magnetons per cell
**E**: -7.1870 eV/atom
**Energy above the most stable polymorph in this dataset**: 0.0 meV/atom
**Mass density**: 12.2 g cm⁻³

a = 4.584 Å, b = 4.584 Å, c = 4.584 Å
α = 60.00°, β = 60.00°, γ = 60.00°
Sites, in units of the cell vectors:
Bi1 0.000 0.000 0.000
Co1 0.750 0.750 0.750
Re1 0.250 0.250 0.250
Sc1 0.500 0.500 0.500

---

An optimized crystal structure of TaCoReBi. Source: OQMD, functional PBE-GGA.

Calculated values
**Total magnetization**: 1.9 Bohr magnetons per cell
**E**: -8.3695 eV/atom
**Energy above the most stable polymorph in this dataset**: 0.0 meV/atom
**Mass density**: 15.5 g cm⁻³

a = 4.578 Å, b = 4.578 Å, c = 4.578 Å
α = 60.00°, β = 60.00°, γ = 60.00°
Sites, in units of the cell vectors:
Bi1 0.000 0.000 0.000
Co1 0.750 0.750 0.750
Re1 0.250 0.250 0.250
Ta1 0.500 0.500 0.500

---

An optimized crystal structure of CoReTcBi. Source: OQMD, functional PBE-GGA.

Calculated values
**Total magnetization**: 2.4 Bohr magnetons per cell
**E**: -7.7356 eV/atom
**Energy above the most stable polymorph in this dataset**: 0.0 meV/atom
**Mass density**: 14.1 g cm⁻³

a = 4.509 Å, b = 4.509 Å, c = 4.509 Å
α = 60.00°, β = 60.00°, γ = 60.00°
Last column: magnetic moment on the atom in μB.
Sites, in units of the cell vectors:
Bi1 0.000 0.000 0.000  0.03
Co1 0.750 0.750 0.750  1.50
Re1 0.500 0.500 0.500  0.68
Tc1 0.250 0.250 0.250  0.20

---

An optimized crystal structure of ZrCoReBi. Source: OQMD, functional PBE-GGA.

Calculated values
**Total magnetization**: 2.8 Bohr magnetons per cell
**E**: -7.4222 eV/atom
**Energy above the most stable polymorph in this dataset**: 314.5 meV/atom
**Mass density**: 12.4 g cm⁻³

a = 4.686 Å, b = 4.686 Å, c = 4.686 Å
α = 60.00°, β = 60.00°, γ = 60.00°
Last column: magnetic moment on the atom in μB.
Sites, in units of the cell vectors:
Bi1 0.000 0.000 0.000  0.01
Co1 0.750 0.750 0.750  1.66
Re1 0.500 0.500 0.500  1.12
Zr1 0.250 0.250 0.250  -0.03